Density functional theory data (PBE-GGA) for a relaxed Cs2Tl3Ag crystal.

Results
The calculation puts the formation energy at 0.000 eV/atom. For the magnetization, the calculation gives 0.000 Bohr magnetons per cell.

Lattice parameters (Å, degrees): 8.894 8.894 8.448 103.69 103.69 51.62
Fractional coordinates of all 12 atoms:
Cs 0.162 0.166 0.081
Cs 0.166 0.162 0.581
Cs 0.834 0.838 0.419
Cs 0.838 0.834 0.919
Tl 0.274 0.726 0.250
Tl 0.384 0.388 0.443
Tl 0.388 0.384 0.943
Tl 0.612 0.616 0.057
Tl 0.616 0.612 0.557
Tl 0.726 0.274 0.750
Ag 0.320 0.680 0.750
Ag 0.680 0.320 0.250